Entry 1:
First-principles (PBE-GGA) data for a relaxed Er3Lu4Te2Ir2 crystal, as listed in the Open Quantum Materials Database.

Computed properties:
Relative energy among the computed polymorphs ... 0.03 eV/f.u.
Space-group type ... Imm2, No. 44
Calculated density ... 10.8 Mg/m³

Cell: 9.2566 9.2566 9.2566 Å, 155.70 66.33 119.35°
Fractional positions:
Er: 0.1330 0.2650 0.8681
Er: 0.3969 0.2650 0.1319
Er: 0.6831 0.6831 0.0000
Ir: 0.5176 0.7546 0.7630
Ir: 0.9916 0.7546 0.2370
Lu: 0.7397 0.0543 0.6854
Lu: 0.3688 0.0543 0.3146
Lu: 0.7659 0.4131 0.3528
Lu: 0.0603 0.4131 0.6472
Te: 0.4190 0.9190 0.5000
Te: 0.0187 0.0187 0.0000

Entry 2:
First-principles (PBE-GGA) data for a relaxed Er4Lu3Te2Ir2 crystal, as listed in the Open Quantum Materials Database.

Computed properties:
Relative energy among the computed polymorphs ... 0.00 eV/f.u.
Space-group type ... Imm2, No. 44
Calculated density ... 10.8 Mg/m³

Cell: 9.2683 9.2683 9.2683 Å, 155.71 66.32 119.35°
Fractional positions:
Lu: 0.1827 0.6827 0.5000
Lu: 0.2394 0.0545 0.1849
Lu: 0.8697 0.0545 0.8151
Er: 0.5600 0.4135 0.1465
Er: 0.8970 0.2651 0.6319
Er: 0.2670 0.4135 0.8535
Er: 0.6332 0.2651 0.3681
Ir: 0.4910 0.7537 0.7374
Ir: 0.0163 0.7537 0.2626
Te: 0.9191 0.9191 0.0000
Te: 0.5192 0.0192 0.5000

Entry 3:
First-principles (PBE-GGA) data for a relaxed Er4Lu3Te2Ir2 crystal, as listed in the Open Quantum Materials Database.

Computed properties:
Relative energy among the computed polymorphs ... 0.13 eV/f.u.
Space-group type ... Imm2, No. 44
Calculated density ... 10.7 Mg/m³

Cell: 9.2758 9.2758 9.2758 Å, 155.72 66.38 119.28°
Fractional positions:
Ir: 0.0154 0.7541 0.2613
Ir: 0.4928 0.7541 0.7387
Lu: 0.8973 0.2649 0.6324
Lu: 0.6326 0.2649 0.3676
Lu: 0.1829 0.6829 0.5000
Er: 0.2381 0.0538 0.1843
Er: 0.5600 0.4139 0.1461
Er: 0.2678 0.4139 0.8539
Er: 0.8695 0.0538 0.8157
Te: 0.5211 0.0211 0.5000
Te: 0.9172 0.9172 0.0000

Entry 4:
First-principles (PBE-GGA) data for a relaxed Er3Lu4Te2Ir2 crystal, as listed in the Open Quantum Materials Database.

Computed properties:
Relative energy among the computed polymorphs ... 0.16 eV/f.u.
Space-group type ... Imm2, No. 44
Calculated density ... 10.8 Mg/m³

Cell: 9.2574 9.2574 9.2574 Å, 155.73 66.36 119.30°
Fractional positions:
Lu: 0.5602 0.4134 0.1468
Lu: 0.8971 0.2647 0.6324
Lu: 0.6324 0.2647 0.3676
Lu: 0.2666 0.4134 0.8532
Er: 0.8688 0.0537 0.8151
Er: 0.2386 0.0537 0.1849
Er: 0.1833 0.6833 0.5000
Te: 0.5206 0.0206 0.5000
Te: 0.9169 0.9169 0.0000
Ir: 0.4933 0.7551 0.7383
Ir: 0.0168 0.7551 0.2617

Entry 5:
First-principles (PBE-GGA) data for a relaxed ErLu6Te2Ir2 crystal, as listed in the Open Quantum Materials Database.

Computed properties:
Space-group type ... Imm2, No. 44
Calculated density ... 11.0 Mg/m³
Calculated total energy ... -66.1 eV for the cell shown

Cell: 9.2153 9.2153 9.2153 Å, 155.61 66.34 119.38°
Fractional positions:
Lu: 0.0611 0.4137 0.6474
Lu: 0.7389 0.0533 0.6856
Lu: 0.1326 0.2653 0.8673
Lu: 0.3979 0.2653 0.1327
Lu: 0.7663 0.4137 0.3526
Lu: 0.3677 0.0533 0.3144
Er: 0.6833 0.6833 0.0000
Te: 0.4172 0.9172 0.5000
Te: 0.0208 0.0208 0.0000
Ir: 0.9925 0.7544 0.2381
Ir: 0.5162 0.7544 0.7619

Entry 6:
First-principles (PBE-GGA) data for a relaxed ErTmLu4Ir2 crystal, as listed in the Open Quantum Materials Database.

Computed properties:
Space-group type ... P4/mmm, No. 123
Calculated formation energy ... -218.9 meV/atom
Calculated density ... 13.2 Mg/m³

Cell: 5.0216 5.0216 7.1041 Å, 90.00 90.00 90.00°
Fractional positions:
Lu: 0.5000 0.0000 0.2500
Lu: 0.0000 0.5000 0.2500
Lu: 0.0000 0.5000 0.7500
Lu: 0.5000 0.0000 0.7500
Er: 0.0000 0.0000 0.5000
Ir: 0.5000 0.5000 0.5000
Ir: 0.0000 0.0000 0.0000
Tm: 0.5000 0.5000 0.0000

Entry 7:
First-principles (PBE-GGA) data for a relaxed ErLu4ZnIr2 crystal, as listed in the Open Quantum Materials Database.

Computed properties:
Space-group type ... P4/mmm, No. 123
Calculated formation energy ... -483.0 meV/atom
Calculated density ... 12.8 Mg/m³

Cell: 4.8480 4.8480 7.2706 Å, 90.00 90.00 90.00°
Fractional positions:
Er: 0.0000 0.0000 0.0000
Lu: 0.5000 0.0000 0.2692
Lu: 0.0000 0.5000 0.7308
Lu: 0.0000 0.5000 0.2692
Lu: 0.5000 0.0000 0.7308
Zn: 0.5000 0.5000 0.5000
Ir: 0.0000 0.0000 0.5000
Ir: 0.5000 0.5000 0.0000

Entry 8:
First-principles (PBE-GGA) data for a relaxed Er2MgIr3 crystal, as listed in the Open Quantum Materials Database.

Computed properties:
Space-group type ... P6_3/mmc, No. 194
Calculated density ... 14.2 Mg/m³
Calculated total energy ... -83.1 eV for the cell shown

Cell: 5.5518 5.5518 8.1769 Å, 90.00 90.00 120.00°
Fractional positions:
Mg: 0.0000 0.0000 0.0000
Mg: 0.0000 0.0000 0.5000
Ir: 0.3430 0.1715 0.2500
Ir: 0.6570 0.8285 0.7500
Ir: 0.8285 0.1715 0.2500
Ir: 0.1715 0.3430 0.7500
Ir: 0.8285 0.6570 0.2500
Ir: 0.1715 0.8285 0.7500
Er: 0.3333 0.6667 0.4375
Er: 0.6667 0.3333 0.5626
Er: 0.6667 0.3333 0.9374
Er: 0.3333 0.6667 0.0625

Entry 9:
First-principles (PBE-GGA) data for a relaxed ErMgIr crystal, as listed in the Open Quantum Materials Database.

Computed properties:
Space-group type ... F-43m, No. 216
Calculated density ... 9.9 Mg/m³
Calculated total energy ... -14.8 eV for the cell shown

Cell: 4.4974 4.4974 4.4974 Å, 60.00 60.00 60.00°
Fractional positions:
Er: 0.2500 0.2500 0.2500
Mg: 0.0000 0.0000 0.0000
Ir: 0.7500 0.7500 0.7500

Entry 10:
First-principles (PBE-GGA) data for a relaxed NdEr2Mg3Ir3 crystal, as listed in the Open Quantum Materials Database.

Computed properties:
Space-group type ... Amm2, No. 38
Calculated density ... 10.0 Mg/m³
Calculated total energy ... -51.1 eV for the cell shown

Cell: 4.0717 7.2912 7.2912 Å, 120.23 90.00 90.00°
Fractional positions:
Ir: 0.5000 0.3300 0.6729
Ir: 0.0000 0.9937 0.9937
Ir: 0.5000 0.6729 0.3300
Er: 0.0000 0.5924 0.0002
Er: 0.0000 0.0002 0.5924
Nd: 0.0000 0.4130 0.4130
Mg: 0.5000 0.2435 0.9975
Mg: 0.5000 0.9975 0.2435
Mg: 0.5000 0.7568 0.7568

Entry 11:
First-principles (PBE-GGA) data for a relaxed NdEr2Mg3Ir2Pd crystal, as listed in the Open Quantum Materials Database.

Computed properties:
Space-group type ... Amm2, No. 38
Calculated density ... 9.1 Mg/m³
Calculated total energy ... -47.6 eV for the cell shown

Cell: 4.0281 7.3991 7.3991 Å, 120.52 90.00 90.00°
Fractional positions:
Pd: 0.0000 0.9938 0.9938
Mg: 0.5000 0.9975 0.2481
Mg: 0.5000 0.2481 0.9975
Mg: 0.5000 0.7534 0.7534
Nd: 0.0000 0.4189 0.4189
Er: 0.0000 0.9997 0.5847
Er: 0.0000 0.5847 0.9997
Ir: 0.5000 0.3303 0.6737
Ir: 0.5000 0.6737 0.3303

Entry 12:
First-principles (PBE-GGA) data for a relaxed Nd2ErMg3Ir2Pt crystal, as listed in the Open Quantum Materials Database.

Computed properties:
Space-group type ... Amm2, No. 38
Calculated density ... 9.5 Mg/m³
Calculated total energy ... -49.1 eV for the cell shown

Cell: 4.0819 7.4137 7.4137 Å, 119.83 90.00 90.00°
Fractional positions:
Nd: 0.0000 0.5842 0.0003
Nd: 0.0000 0.0003 0.5842
Ir: 0.5000 0.6580 0.3370
Ir: 0.5000 0.3370 0.6580
Mg: 0.5000 0.7519 0.7519
Mg: 0.5000 0.0042 0.2461
Mg: 0.5000 0.2461 0.0042
Pt: 0.0000 0.0081 0.0081
Er: 0.0000 0.4102 0.4102

Entry 13:
First-principles (PBE-GGA) data for a relaxed NdEr2Mg3Ir2Pt crystal, as listed in the Open Quantum Materials Database.

Computed properties:
Space-group type ... Amm2, No. 38
Calculated density ... 9.9 Mg/m³
Calculated total energy ... -49.2 eV for the cell shown

Cell: 4.0499 7.3631 7.3631 Å, 120.26 90.00 90.00°
Fractional positions:
Er: 0.0000 0.5885 0.0000
Er: 0.0000 0.0000 0.5885
Pt: 0.0000 0.9932 0.9932
Ir: 0.5000 0.3304 0.6733
Ir: 0.5000 0.6733 0.3304
Mg: 0.5000 0.2465 0.9969
Mg: 0.5000 0.7549 0.7549
Mg: 0.5000 0.9969 0.2465
Nd: 0.0000 0.4163 0.4163

Entry 14:
First-principles (PBE-GGA) data for a relaxed Pr2ErMg3Ir2Pd crystal, as listed in the Open Quantum Materials Database.

Computed properties:
Space-group type ... Amm2, No. 38
Calculated density ... 8.5 Mg/m³
Calculated total energy ... -47.4 eV for the cell shown

Cell: 4.0851 7.4497 7.4497 Å, 119.52 90.00 90.00°
Fractional positions:
Ir: 0.5000 0.6557 0.3379
Ir: 0.5000 0.3379 0.6557
Er: 0.0000 0.4137 0.4137
Mg: 0.5000 0.0040 0.2466
Mg: 0.5000 0.7516 0.7516
Mg: 0.5000 0.2466 0.0040
Pd: 0.0000 0.0081 0.0081
Pr: 0.0000 0.0011 0.5813
Pr: 0.0000 0.5813 0.0011

Entry 15:
First-principles (PBE-GGA) data for a relaxed Tb2ErMg3Ir2Pd crystal, as listed in the Open Quantum Materials Database.

Computed properties:
Space-group type ... Amm2, No. 38
Calculated density ... 9.3 Mg/m³
Calculated total energy ... -47.7 eV for the cell shown

Cell: 4.0115 7.3457 7.3457 Å, 119.85 90.00 90.00°
Fractional positions:
Tb: 0.0000 0.9998 0.4162
Tb: 0.0000 0.4162 0.9998
Mg: 0.5000 0.9992 0.7508
Mg: 0.5000 0.2496 0.2496
Mg: 0.5000 0.7508 0.9992
Pd: 0.0000 0.9979 0.9979
Ir: 0.5000 0.3356 0.6656
Ir: 0.5000 0.6656 0.3356
Er: 0.0000 0.5853 0.5853

Entry 16:
First-principles (PBE-GGA) data for a relaxed ErTm2Mg3Ir2Pd crystal, as listed in the Open Quantum Materials Database.

Computed properties:
Space-group type ... Amm2, No. 38
Calculated density ... 9.7 Mg/m³
Calculated total energy ... -47.5 eV for the cell shown

Cell: 3.9927 7.2909 7.2909 Å, 120.04 90.00 90.00°
Fractional positions:
Mg: 0.5000 0.9997 0.2496
Mg: 0.5000 0.2496 0.9997
Mg: 0.5000 0.7506 0.7506
Tm: 0.0000 0.5843 0.0000
Tm: 0.0000 0.0000 0.5843
Pd: 0.0000 0.9994 0.9994
Er: 0.0000 0.4161 0.4161
Ir: 0.5000 0.6673 0.3331
Ir: 0.5000 0.3331 0.6673

Entry 17:
First-principles (PBE-GGA) data for a relaxed Er2TmMg3Ir2Pd crystal, as listed in the Open Quantum Materials Database.

Computed properties:
Space-group type ... Amm2, No. 38
Calculated density ... 9.6 Mg/m³
Calculated total energy ... -47.6 eV for the cell shown

Cell: 3.9951 7.2958 7.2958 Å, 119.96 90.00 90.00°
Fractional positions:
Er: 0.0000 0.0000 0.5841
Er: 0.0000 0.5841 0.0000
Ir: 0.5000 0.3336 0.6660
Ir: 0.5000 0.6660 0.3336
Pd: 0.0000 0.0006 0.0006
Mg: 0.5000 0.7503 0.7503
Mg: 0.5000 0.2496 0.0003
Mg: 0.5000 0.0003 0.2496
Tm: 0.0000 0.4155 0.4155

Entry 18:
First-principles (PBE-GGA) data for a relaxed YEr2Mg3Ir2Pd crystal, as listed in the Open Quantum Materials Database.

Computed properties:
Space-group type ... Amm2, No. 38
Calculated density ... 8.8 Mg/m³
Calculated total energy ... -49.5 eV for the cell shown

Cell: 3.9985 7.3437 7.3437 Å, 120.28 90.00 90.00°
Fractional positions:
Er: 0.0000 0.4154 0.0000
Er: 0.0000 0.0000 0.4154
Pd: 0.0000 0.0030 0.0030
Ir: 0.5000 0.3300 0.6680
Ir: 0.5000 0.6680 0.3300
Y: 0.0000 0.5834 0.5834
Mg: 0.5000 0.2505 0.2505
Mg: 0.5000 0.7502 0.9996
Mg: 0.5000 0.9996 0.7502

Entry 19:
First-principles (PBE-GGA) data for a relaxed Y2ErMg3Ir2Pd crystal, as listed in the Open Quantum Materials Database.

Computed properties:
Space-group type ... Amm2, No. 38
Calculated density ... 8.0 Mg/m³
Calculated total energy ... -51.3 eV for the cell shown

Cell: 4.0076 7.3423 7.3423 Å, 119.72 90.00 90.00°
Fractional positions:
Ir: 0.5000 0.3370 0.6652
Ir: 0.5000 0.6652 0.3370
Mg: 0.5000 0.2490 0.2490
Mg: 0.5000 0.7502 0.0004
Mg: 0.5000 0.0004 0.7502
Y: 0.0000 0.4161 0.0000
Y: 0.0000 0.0000 0.4161
Pd: 0.0000 0.9968 0.9968
Er: 0.0000 0.5853 0.5853

Entry 20:
First-principles (PBE-GGA) data for a relaxed Pr2ErMg3Ir2Pt crystal, as listed in the Open Quantum Materials Database.

Computed properties:
Space-group type ... Amm2, No. 38
Calculated density ... 9.3 Mg/m³
Calculated total energy ... -49.0 eV for the cell shown

Cell: 4.0937 7.4300 7.4300 Å, 119.86 90.00 90.00°
Fractional positions:
Ir: 0.5000 0.3379 0.6558
Ir: 0.5000 0.6558 0.3379
Pr: 0.0000 0.5833 0.0007
Pr: 0.0000 0.0007 0.5833
Mg: 0.5000 0.7531 0.7531
Mg: 0.5000 0.0046 0.2458
Mg: 0.5000 0.2458 0.0046
Er: 0.0000 0.4101 0.4101
Pt: 0.0000 0.0088 0.0088